VASP calculation (PBE-GGA) on BeHW after structural relaxation.

Cell lengths 2.739, 4.519, 4.835 Å; angles 69.69, 75.21, 85.00 degrees
Space group P1 (No. 1)
One atom of each set of equivalent atoms:
Be (0.000, 0.000, 0.000) (multiplicity 1)
Be (0.299, 0.697, 0.393) (multiplicity 1)
H (0.148, 0.352, 0.689) (multiplicity 1)
H (0.901, 0.584, 0.159) (multiplicity 1)
W (0.530, 0.538, 0.896) (multiplicity 1)
W (0.753, 0.133, 0.493) (multiplicity 1)

## Properties
- Total magnetic moment: 0.0000 μB/atom
- Total energy: -6.44 eV/atom